# 1
The following is a DFT calculation (PBE) of an optimized crystal structure of CaPr5Tl6.

## Properties
**Energy above the most stable polymorph in this dataset**: 0 meV/atom
**DFT formation energy**: -4.8 eV per formula unit

Cell: 5.551 7.831 8.786 Å, 90.00 108.11 90.00°
Space group P2/m (No. 10)
Asymmetric unit:
Ca: 0.000 0.000 0.000 [1 per cell]
Pr: 0.000 0.500 0.000 [1 per cell]
Pr: 0.332 0.500 0.663 [2 per cell]
Pr: 0.337 0.000 0.674 [2 per cell]
Tl: 0.165 0.245 0.330 [4 per cell]
Tl: 0.500 0.250 0.000 [2 per cell]


# 2
The following is a DFT calculation (PBE) of an optimized crystal structure of CaPr2Tl.

## Properties
**Energy above the most stable polymorph in this dataset**: 187 meV/atom
**DFT formation energy**: 0.0 eV per formula unit

Cell: 8.040 8.040 8.040 Å, 90.00 90.00 90.00°
Space group F-43m (No. 216)
Asymmetric unit:
Ca: 0.000 0.000 0.000 [4 per cell]
Pr: 0.000 0.000 0.500 [4 per cell]
Pr: 0.250 0.250 0.750 [4 per cell]
Tl: 0.250 0.250 0.250 [4 per cell]


# 3
The following is a DFT calculation (PBE) of an optimized crystal structure of CaPr4Tl4.

## Properties
**DFT formation energy**: -1.9 eV per formula unit

Cell: 9.530 9.530 6.267 Å, 90.00 90.00 90.00°
Space group P4_2/n (No. 86, origin choice 2)
Asymmetric unit:
Ca: 0.250 0.250 0.250 [2 per cell]
Pr: 0.086 0.829 0.617 [8 per cell]
Tl: 0.047 0.147 0.873 [8 per cell]


# 4
The following is a DFT calculation (PBE) of an optimized crystal structure of CaPr2Tl6.

## Properties
**DFT formation energy**: -2.2 eV per formula unit

Cell: 15.886 9.305 3.581 Å, 90.00 90.07 90.00°
Space group C2/m (No. 12)
Asymmetric unit:
Ca: 0.000 0.000 0.000 [2 per cell]
Pr: 0.165 0.500 0.000 [4 per cell]
Tl: 0.000 0.333 0.500 [4 per cell]
Tl: 0.167 0.166 0.527 [8 per cell]


# 5
The following is a DFT calculation (PBE) of an optimized crystal structure of Ca2PrTl.

## Properties
**Energy above the most stable polymorph in this dataset**: 21 meV/atom
**DFT formation energy**: -0.7 eV per formula unit

Cell: 9.361 11.378 5.178 Å, 90.00 90.00 90.00°
Space group Cmcm (No. 63)
Asymmetric unit:
Ca: 0.199 0.119 0.250 [8 per cell]
Pr: 0.000 0.391 0.250 [4 per cell]
Tl: 0.000 0.206 0.750 [4 per cell]


# 6
The following is a DFT calculation (PBE) of an optimized crystal structure of Ca2Pr2Tl7.

## Properties
**DFT formation energy**: -0.2 eV per formula unit

Cell: 8.587 11.110 7.950 Å, 90.00 90.00 90.00°
Space group Cmmm (No. 65)
Asymmetric unit:
Ca: 0.195 0.000 0.000 [4 per cell]
Pr: 0.000 0.304 0.500 [4 per cell]
Tl: 0.000 0.000 0.500 [2 per cell]
Tl: 0.000 0.500 0.205 [4 per cell]
Tl: 0.250 0.250 0.200 [8 per cell]


# 7
The following is a DFT calculation (PBE) of an optimized crystal structure of CaPr2Tl9.

## Properties
**DFT formation energy**: -3.5 eV per formula unit

Cell: 4.851 4.851 14.581 Å, 90.00 90.00 90.00°
Space group P4/mmm (No. 123)
Asymmetric unit:
Ca: 0.000 0.000 0.000 [1 per cell]
Pr: 0.000 0.000 0.336 [2 per cell]
Tl: 0.000 0.500 0.166 [4 per cell]
Tl: 0.000 0.500 0.500 [2 per cell]
Tl: 0.500 0.500 0.000 [1 per cell]
Tl: 0.500 0.500 0.333 [2 per cell]


# 8
The following is a DFT calculation (PBE) of an optimized crystal structure of Ca3PrTl2.

## Properties
**DFT formation energy**: -2.0 eV per formula unit

Cell: 5.327 9.925 7.338 Å, 90.00 90.00 90.00°
Space group Pmc2_1 (No. 26)
Asymmetric unit:
Ca: 0.000 0.057 0.000 [2 per cell]
Ca: 0.000 0.312 0.361 [2 per cell]
Ca: 0.500 0.179 0.700 [2 per cell]
Pr: 0.500 0.449 0.059 [2 per cell]
Tl: 0.000 0.365 0.806 [2 per cell]
Tl: 0.500 0.143 0.252 [2 per cell]


# 9
The following is a DFT calculation (PBE) of an optimized crystal structure of Ca5PrTl3.

## Properties
**DFT formation energy**: -2.7 eV per formula unit

Cell: 9.5806 9.5806 7.2523 Å, 90.00 90.00 120.00°
Space group P6_3/mcm (No. 193)
Asymmetric unit:
Ca: 0.0000 0.3412 0.2500 [6 per cell]
Ca: 0.3333 0.6667 0.0000 [4 per cell]
Pr: 0.0000 0.0000 0.0000 [2 per cell]
Tl: 0.0000 0.3225 0.7500 [6 per cell]


# 10
The following is a DFT calculation (PBE) of an optimized crystal structure of CaPr5Tl2.

## Properties
**DFT formation energy**: -1.1 eV per formula unit

Cell: 3.760 11.255 12.718 Å, 90.00 90.00 90.00°
Space group Immm (No. 71)
Asymmetric unit:
Ca: 0.000 0.000 0.000 [2 per cell]
Pr: 0.000 0.215 0.358 [8 per cell]
Pr: 0.000 0.500 0.000 [2 per cell]
Tl: 0.000 0.500 0.275 [4 per cell]


# 11
The following is a DFT calculation (PBE) of an optimized crystal structure of Ca2PrTl.

## Properties
**Energy above the most stable polymorph in this dataset**: 0 meV/atom
**DFT formation energy**: -0.8 eV per formula unit

Cell: 4.961 4.961 5.324 Å, 90.00 90.00 90.00°
Space group P4/mmm (No. 123)
Asymmetric unit:
Ca: 0.000 0.500 0.000 [2 per cell]
Pr: 0.000 0.000 0.500 [1 per cell]
Tl: 0.500 0.500 0.500 [1 per cell]


# 12
The following is a DFT calculation (PBE) of an optimized crystal structure of CaPrTl.

## Properties
**Energy above the most stable polymorph in this dataset**: 189 meV/atom
**DFT formation energy**: -0.6 eV per formula unit

Cell: 7.605 7.605 7.605 Å, 90.00 90.00 90.00°
Space group F-43m (No. 216)
Asymmetric unit:
Ca: 0.000 0.000 0.000 [4 per cell]
Pr: 0.000 0.000 0.500 [4 per cell]
Tl: 0.250 0.250 0.250 [4 per cell]


# 13
The following is a DFT calculation (PBE) of an optimized crystal structure of CaPrTl6.

## Properties
**DFT formation energy**: -2.2 eV per formula unit

Cell: 4.845 4.845 9.754 Å, 90.00 90.00 90.00°
Space group P4/mmm (No. 123)
Asymmetric unit:
Ca: 0.000 0.000 0.000 [1 per cell]
Pr: 0.000 0.000 0.500 [1 per cell]
Tl: 0.000 0.500 0.249 [4 per cell]
Tl: 0.500 0.500 0.000 [1 per cell]
Tl: 0.500 0.500 0.500 [1 per cell]


# 14
The following is a DFT calculation (PBE) of an optimized crystal structure of CaPr5Tl5.

## Properties
**DFT formation energy**: -1.9 eV per formula unit

Cell: 17.585 5.943 7.263 Å, 90.00 109.48 90.00°
Space group C2/m (No. 12)
Asymmetric unit:
Ca: 0.000 0.000 0.000 [2 per cell]
Pr: 0.000 0.000 0.500 [2 per cell]
Pr: 0.125 0.500 0.678 [4 per cell]
Pr: 0.190 0.500 0.226 [4 per cell]
Tl: 0.000 0.500 0.000 [2 per cell]
Tl: 0.163 0.000 0.386 [4 per cell]
Tl: 0.167 0.000 0.946 [4 per cell]


# 15
The following is a DFT calculation (PBE) of an optimized crystal structure of CaPr3Tl2.

## Properties
**Energy above the most stable polymorph in this dataset**: 144 meV/atom
**DFT formation energy**: -1.1 eV per formula unit

Cell: 16.953 5.593 9.145 Å, 90.00 111.60 90.00°
Space group C2/m (No. 12)
Asymmetric unit:
Ca: 0.146 0.000 0.219 [4 per cell]
Pr: 0.056 0.000 0.721 [4 per cell]
Pr: 0.117 0.500 0.531 [4 per cell]
Pr: 0.188 0.500 0.995 [4 per cell]
Tl: 0.023 0.500 0.172 [4 per cell]
Tl: 0.224 0.000 0.619 [4 per cell]


# 16
The following is a DFT calculation (PBE) of an optimized crystal structure of Ca2PrTl9.

## Properties
**DFT formation energy**: -3.1 eV per formula unit

Cell: 4.857 4.857 14.576 Å, 90.00 90.00 90.00°
Space group P4/mmm (No. 123)
Asymmetric unit:
Ca: 0.000 0.000 0.168 [2 per cell]
Pr: 0.000 0.000 0.500 [1 per cell]
Tl: 0.000 0.500 0.000 [2 per cell]
Tl: 0.000 0.500 0.332 [4 per cell]
Tl: 0.500 0.500 0.167 [2 per cell]
Tl: 0.500 0.500 0.500 [1 per cell]


# 17
The following is a DFT calculation (PBE) of an optimized crystal structure of Ca4PrTl2.

## Properties
**DFT formation energy**: -0.4 eV per formula unit

Cell: 5.4497 5.4497 31.3837 Å, 90.00 90.00 120.00°
Space group R-3m (No. 166, hexagonal axes)
Asymmetric unit:
Ca: 0.0000 0.0000 0.0990 [6 per cell]
Ca: 0.0000 0.0000 0.2965 [6 per cell]
Pr: 0.0000 0.0000 0.5000 [3 per cell]
Tl: 0.0000 0.0000 0.4003 [6 per cell]


# 18
The following is a DFT calculation (PBE) of an optimized crystal structure of CaPr3Tl2.

## Properties
**Energy above the most stable polymorph in this dataset**: 0 meV/atom
**DFT formation energy**: -1.9 eV per formula unit

Cell: 5.581 9.745 7.008 Å, 90.00 90.00 90.00°
Space group Pmc2_1 (No. 26)
Asymmetric unit:
Ca: 0.000 0.001 0.000 [2 per cell]
Pr: 0.000 0.333 0.748 [2 per cell]
Pr: 0.500 0.166 0.251 [2 per cell]
Pr: 0.500 0.499 0.999 [2 per cell]
Tl: 0.000 0.333 0.249 [2 per cell]
Tl: 0.500 0.164 0.750 [2 per cell]


# 19
The following is a DFT calculation (PBE) of an optimized crystal structure of CaPr2Tl.

## Properties
**Energy above the most stable polymorph in this dataset**: 64 meV/atom
**DFT formation energy**: -0.5 eV per formula unit

Cell: 4.194 4.194 7.584 Å, 90.00 90.00 90.00°
Space group P4/mmm (No. 123)
Asymmetric unit:
Ca: 0.000 0.000 0.000 [1 per cell]
Pr: 0.500 0.500 0.272 [2 per cell]
Tl: 0.000 0.000 0.500 [1 per cell]


# 20
The following is a DFT calculation (PBE) of an optimized crystal structure of Ca2PrTl3.

## Properties
**DFT formation energy**: -2.5 eV per formula unit

Cell: 3.866 3.866 11.917 Å, 90.00 90.00 90.00°
Space group P4/mmm (No. 123)
Asymmetric unit:
Ca: 0.000 0.000 0.162 [2 per cell]
Pr: 0.000 0.000 0.500 [1 per cell]
Tl: 0.500 0.500 0.000 [1 per cell]
Tl: 0.500 0.500 0.328 [2 per cell]


# 21
The following is a DFT calculation (PBE) of an optimized crystal structure of Ca2PrTl.

## Properties
**Energy above the most stable polymorph in this dataset**: 94 meV/atom
**DFT formation energy**: -0.4 eV per formula unit

Cell: 3.7812 3.7812 34.0163 Å, 90.00 90.00 120.00°
Space group R3m (No. 160, hexagonal axes)
Asymmetric unit:
Ca: 0.0000 0.0000 0.0000 [3 per cell]
Ca: 0.0000 0.0000 0.1864 [3 per cell]
Pr: 0.0000 0.0000 0.4275 [3 per cell]
Tl: 0.0000 0.0000 0.5930 [3 per cell]


# 22
The following is a DFT calculation (PBE) of an optimized crystal structure of CaPr2Tl.

## Properties
**Energy above the most stable polymorph in this dataset**: 57 meV/atom
**DFT formation energy**: -0.5 eV per formula unit

Cell: 8.031 8.031 8.031 Å, 90.00 90.00 90.00°
Space group Fm-3m (No. 225)
Asymmetric unit:
Ca: 0.000 0.000 0.000 [4 per cell]
Pr: 0.250 0.250 0.250 [8 per cell]
Tl: 0.000 0.000 0.500 [4 per cell]


# 23
The following is a DFT calculation (PBE) of an optimized crystal structure of Ca2Pr3Tl4.

## Properties
**DFT formation energy**: -2.0 eV per formula unit

Cell: 7.522 16.549 9.749 Å, 90.00 90.00 90.00°
Space group Cmce (No. 64)
Asymmetric unit:
Ca: 0.000 0.108 0.064 [8 per cell]
Pr: 0.000 0.000 0.500 [4 per cell]
Pr: 0.250 0.216 0.750 [8 per cell]
Tl: 0.000 0.191 0.470 [8 per cell]
Tl: 0.250 0.022 0.750 [8 per cell]